# 1
This record from Alexandria via LeMat-Bulk describes a relaxed AcLa2PrNd crystal. The functional is PBE.

a b c (Å): 3.7457 17.1500 12.5855
angles (deg): 90.00 90.00 90.00
Space group Cmcm (No. 63)
Asymmetric unit:
Ac  0.0000  0.1035  0.2500
La  0.0000  0.3305  0.5180
Pr  0.0000  0.1808  0.7500
Nd  0.0000  0.0000  0.0000

## Properties
The magnetic moment is 0.00 μB/f.u. Its density of states at the Fermi level is 1.54 states/eV per atom. The value obtained for the energy of formation from the pure elements is 0.25 eV per atom.



# 2
This record from Alexandria via LeMat-Bulk describes a relaxed In2FeS4 crystal. The functional is PBE.

a b c (Å): 10.6652 10.6652 10.6652
angles (deg): 90.00 90.00 90.00
Space group Fd-3m (No. 227, origin choice 2)
Asymmetric unit:
In  0.0000  0.0000  0.0000
Fe  0.1250  0.1250  0.6250
S  0.0012  0.0012  0.2488

## Properties
The value obtained for the raw formation energy is -0.45 eV per atom. The magnetic moment is 4.00 μB/f.u. Its density of states at the Fermi level is 0.41 states/eV per atom.



# 3
This record from Alexandria via LeMat-Bulk describes a relaxed Rb4HgAu crystal. The functional is PBE.

a b c (Å): 6.0733 6.0733 8.7146
angles (deg): 90.00 90.00 90.00
Space group P4/mmm (No. 123)
Asymmetric unit:
Rb  0.0000  0.5000  0.2373
Hg  0.0000  0.0000  0.5000
Au  0.5000  0.5000  0.0000

## Properties
The magnetic moment is 0.00 μB/f.u. The calculation puts the relative energy among the computed polymorphs at 19 meV/atom. Its density of states at the Fermi level is 1.17 states/eV per atom. The value obtained for the energy of formation from the pure elements is -0.15 eV per atom.



# 4
This record from Alexandria via LeMat-Bulk describes a relaxed AlCu2CSe crystal. The functional is PBE.

a b c (Å): 4.1049 4.1049 3.9905
angles (deg): 90.00 90.00 90.00
Space group P4/mmm (No. 123)
Asymmetric unit:
Al  0.0000  0.0000  0.0000
Cu  0.0000  0.5000  0.5000
C  0.0000  0.0000  0.5000
Se  0.5000  0.5000  0.0000

## Properties
The value obtained for the raw formation energy is 0.29 eV per atom. The magnetic moment is 0.00 μB/f.u. The calculation puts the relative energy among the computed polymorphs at 0 meV/atom. Its density of states at the Fermi level is 0.52 states/eV per atom.